A geometry-optimized CrBP2S structure. Source: the Alexandria database, functional GGA-PBEsol.

The structure in POSCAR format:
```
CrBP2S
1.0
3.978 0.000 0.000
0.000 3.978 0.000
0.000 0.000 4.286
P Cr S B
2 1 1 1
direct
0.500 0.000 0.000 P
0.000 0.500 0.000 P
0.500 0.500 0.500 Cr
0.000 0.000 0.500 S
0.000 0.000 0.000 B
```

Output
Final energy: -29.53 eV per cell
Uncorrected formation energy: 0.74 eV per atom
M_tot: 3.20 μB/f.u.